No. 1
BiPd7Se2 PBE-GGA optimized geometry; space-group type = No. 139; E_form (uncorrected) = -0.1904 eV per atom
1.0
-2.1318 2.1318 9.9128
2.1318 -2.1318 9.9128
2.1318 2.1318 -9.9128
Bi Pd Se
1 7 2
direct
0.0000 0.0000 0.0000 Bi
0.1015 0.6015 0.5000 Pd
0.2500 0.7500 0.5000 Pd
0.3985 0.8985 0.5000 Pd
0.5000 0.5000 0.0000 Pd
0.6015 0.1015 0.5000 Pd
0.7500 0.2500 0.5000 Pd
0.8985 0.3985 0.5000 Pd
0.3271 0.3271 0.0000 Se
0.6729 0.6729 0.0000 Se

=====

No. 2
La3ZnN PBE-GGA optimized geometry; space-group type = No. 127; E_form (uncorrected) = -0.6680 eV per atom; excess energy over the best structure of this formula in the dataset = 0.028 eV/atom
1.0
7.0541 0.0000 0.0000
0.0000 7.0541 0.0000
0.0000 0.0000 5.2061
La Zn N
6 2 2
direct
0.0000 0.0000 0.0000 La
0.1961 0.3039 0.5000 La
0.3039 0.8039 0.5000 La
0.5000 0.5000 0.0000 La
0.6961 0.1961 0.5000 La
0.8039 0.6961 0.5000 La
0.0000 0.5000 0.0000 Zn
0.5000 0.0000 0.0000 Zn
0.0000 0.0000 0.5000 N
0.5000 0.5000 0.5000 N

=====

No. 3
KAs3 PBE-GGA optimized geometry; DFT formation energy = 8 kJ/mol of formula units; space-group type = No. 62; excess energy over the best structure of this formula in the dataset = 0.145 eV/atom
1.0
6.7468 0.0000 0.0000
0.0000 9.5958 0.0000
0.0000 0.0000 6.2906
K As
4 12
direct
0.0139 0.2500 0.1554 K
0.4861 0.7500 0.6554 K
0.5139 0.2500 0.3446 K
0.9861 0.7500 0.8446 K
0.0128 0.7500 0.3411 As
0.2436 0.0503 0.7417 As
0.2436 0.4497 0.7417 As
0.2564 0.5503 0.2417 As
0.2564 0.9497 0.2417 As
0.4872 0.2500 0.8411 As
0.5128 0.7500 0.1589 As
0.7436 0.0503 0.7583 As
0.7436 0.4497 0.7583 As
0.7564 0.5503 0.2583 As
0.7564 0.9497 0.2583 As
0.9872 0.2500 0.6589 As

=====

No. 4
AcCoH4 PBE-GGA optimized geometry; space-group type = No. 123; excess energy over the best structure of this formula in the dataset = 0.000 eV/atom
1.0
3.5229 0.0000 0.0000
0.0000 3.5229 0.0000
0.0000 0.0000 4.6266
Ac Co H
1 1 4
direct
0.0000 0.0000 0.0000 Ac
0.5000 0.5000 0.5000 Co
0.0000 0.5000 0.5000 H
0.5000 0.0000 0.5000 H
0.5000 0.5000 0.1683 H
0.5000 0.5000 0.8317 H

=====

No. 5
Ni4Mo3Pt2 PBE-GGA optimized geometry; DFT formation energy = 21 kJ/mol of formula units; space-group type = No. 66
1.0
4.8180 -5.6771 0.0000
4.8180 5.6771 0.0000
0.0000 0.0000 4.5709
Ni Mo Pt
8 6 4
direct
0.0230 0.3277 0.0000 Ni
0.2011 0.3192 0.5000 Ni
0.3192 0.2011 0.0000 Ni
0.3277 0.0230 0.5000 Ni
0.6723 0.9770 0.5000 Ni
0.6808 0.7989 0.0000 Ni
0.7989 0.6808 0.5000 Ni
0.9770 0.6723 0.0000 Ni
0.0000 0.0000 0.2500 Mo
0.0000 0.0000 0.7500 Mo
0.3243 0.5236 0.0000 Mo
0.4764 0.6757 0.5000 Mo
0.5236 0.3243 0.5000 Mo
0.6757 0.4764 0.0000 Mo
0.1357 0.6720 0.5000 Pt
0.3280 0.8643 0.0000 Pt
0.6720 0.1357 0.0000 Pt
0.8643 0.3280 0.5000 Pt

=====

No. 6
PaGeS2 PBE-GGA optimized geometry; space-group type = No. 166; E_form (uncorrected) = -0.2680 eV per atom
1.0
1.8078 1.0437 8.2728
-1.8078 1.0437 8.2728
0.0000 -2.0875 8.2728
Pa Ge S
1 1 2
direct
0.0000 0.0000 0.0000 Pa
0.5000 0.5000 0.5000 Ge
0.1048 0.1048 0.1048 S
0.8952 0.8952 0.8952 S

=====

No. 7
Li3YBr6 PBE-GGA optimized geometry; space-group type = No. 14; E_form (uncorrected) = -1.6204 eV per atom; excess energy over the best structure of this formula in the dataset = 0.039 eV/atom
1.0
7.0545 0.0000 0.0000
0.0000 7.1264 0.0000
-7.0470 0.0000 10.8419
Li Y Br
6 2 12
direct
0.0000 0.0000 0.0000 Li
0.0000 0.5000 0.5000 Li
0.2163 0.0209 0.7331 Li
0.2163 0.4791 0.2331 Li
0.7837 0.5209 0.7669 Li
0.7837 0.9791 0.2669 Li
0.5000 0.0000 0.5000 Y
0.5000 0.5000 0.0000 Y
0.1277 0.1064 0.2625 Br
0.1277 0.3936 0.7625 Br
0.2186 0.6794 0.0609 Br
0.2186 0.8206 0.5609 Br
0.4295 0.1693 0.0908 Br
0.4295 0.3307 0.5908 Br
0.5705 0.6693 0.4092 Br
0.5705 0.8307 0.9092 Br
0.7814 0.1794 0.4391 Br
0.7814 0.3206 0.9391 Br
0.8723 0.6064 0.2375 Br
0.8723 0.8936 0.7375 Br

=====

No. 8
K3ZrSc PBE-GGA optimized geometry; DFT formation energy = 777 kJ/mol of formula units; space-group type = No. 221; excess energy over the best structure of this formula in the dataset = 0.059 eV/atom
1.0
6.5733 0.0000 0.0000
0.0000 6.5733 0.0000
0.0000 0.0000 6.5733
K Zr Sc
3 1 1
direct
0.0000 0.0000 0.5000 K
0.0000 0.5000 0.0000 K
0.5000 0.0000 0.0000 K
0.5000 0.5000 0.5000 Zr
0.0000 0.0000 0.0000 Sc